# NaLiLa2Ru

Crystalline NaLiLa2Ru at its relaxed geometry (PBE, Alexandria via LeMat-Bulk).

a = 5.3776 Å, b = 5.3776 Å, c = 5.4569 Å
α = 90.00°, β = 90.00°, γ = 90.00°
Closest atoms and distances in Å follow each position.
Positions (direct):
Na1 0.0000 0.0000 0.0000  4 Li 3.80, 8 La 3.83
Li1 0.5000 0.5000 0.0000  2 Ru 2.73
La1 0.0000 0.5000 0.5000  2 Ru 2.69
La2 0.5000 0.0000 0.5000  2 Ru 2.69
Ru1 0.5000 0.5000 0.5000  4 La 2.69, 2 Li 2.73

## Properties
* final energy: -4.480 eV per atom
* energy relative to the lowest polymorph listed for this composition: 0.0 meV per atom
* energy relative to the elements: -0.007 eV/atom
* symmetry: No. 123

***

# La2Nd7Mg2

Crystalline La2Nd7Mg2 at its relaxed geometry (PBE, Alexandria via LeMat-Bulk).

a = 6.6924 Å, b = 6.6924 Å, c = 8.8209 Å
α = 102.19°, β = 102.19°, γ = 96.20°
Closest atoms and distances in Å follow each position.
Positions (direct):
La1 0.1791 0.8209 0.0000  2 Mg 3.33, 6 Nd 3.51-3.60, 1 La 3.57
La2 0.8209 0.1791 0.0000  2 Mg 3.33, 6 Nd 3.51-3.60, 1 La 3.57
Nd1 0.0311 0.3858 0.6752  3 Mg 3.34-3.59, 1 La 3.51, 2 Nd 3.53-3.70
Nd2 0.3596 0.3596 0.0865  2 Nd 3.32-3.46, 4 La 3.54-3.60, 1 Mg 3.56
Nd3 0.3858 0.0311 0.6752  3 Mg 3.34-3.59, 1 La 3.51, 2 Nd 3.53-3.70
Nd4 0.5000 0.5000 0.5000  2 Mg 3.28, 2 Nd 3.46
Nd5 0.6142 0.9689 0.3248  3 Mg 3.34-3.59, 1 La 3.51, 2 Nd 3.53-3.70
Nd6 0.6404 0.6404 0.9135  2 Nd 3.32-3.46, 4 La 3.54-3.60, 1 Mg 3.56
Nd7 0.9689 0.6142 0.3248  3 Mg 3.34-3.59, 1 La 3.51, 2 Nd 3.53-3.70
Mg1 0.1158 0.1158 0.3364  8 Nd 3.28-3.59, 2 La 3.33
Mg2 0.8842 0.8842 0.6636  8 Nd 3.28-3.59, 2 La 3.33

## Properties
* final energy: -4.166 eV per atom
* energy relative to the elements: 0.054 eV/atom
* symmetry: No. 12

***

# TlMoRh2

Crystalline TlMoRh2 at its relaxed geometry (PBE, Alexandria via LeMat-Bulk).

a = 3.9288 Å, b = 3.9288 Å, c = 8.4808 Å
α = 90.00°, β = 90.00°, γ = 90.00°
Closest atoms and distances in Å follow each position.
Positions (direct):
Tl1 0.0000 0.0000 0.0000  8 Rh 2.78-2.89, 4 Mo 2.89
Tl2 0.5000 0.5000 0.5000  8 Rh 2.78-2.89, 4 Mo 2.89
Mo1 0.0000 0.5000 0.2500  8 Rh 2.78-2.89, 4 Tl 2.89
Mo2 0.5000 0.0000 0.7500  8 Rh 2.78-2.89, 4 Tl 2.89
Rh1 0.0000 0.0000 0.5000  4 Tl 2.78, 4 Mo 2.89, 4 Rh 2.89
Rh2 0.0000 0.5000 0.7500  4 Mo 2.78, 4 Tl 2.89, 4 Rh 2.89
Rh3 0.5000 0.0000 0.2500  4 Mo 2.78, 4 Tl 2.89, 4 Rh 2.89
Rh4 0.5000 0.5000 0.0000  4 Tl 2.78, 4 Mo 2.89, 4 Rh 2.89

## Properties
* final energy: -6.716 eV per atom
* energy relative to the lowest polymorph listed for this composition: 265.0 meV per atom
* energy relative to the elements: 0.259 eV/atom
* symmetry: No. 119

***

# K4BiI6

Crystalline K4BiI6 at its relaxed geometry (PBE, Alexandria via LeMat-Bulk).

a = 9.8165 Å, b = 9.8165 Å, c = 10.0117 Å
α = 90.00°, β = 90.00°, γ = 90.00°
Closest atoms and distances in Å follow each position.
Positions (direct):
K1 0.1646 0.3354 0.2500  6 I 3.65-3.74
K2 0.1646 0.3354 0.7500  6 I 3.65-3.74
K3 0.3354 0.8354 0.2500  6 I 3.65-3.74
K4 0.3354 0.8354 0.7500  6 I 3.65-3.74
K5 0.6646 0.1646 0.2500  6 I 3.65-3.74
K6 0.6646 0.1646 0.7500  6 I 3.65-3.74
K7 0.8354 0.6646 0.2500  6 I 3.65-3.74
K8 0.8354 0.6646 0.7500  6 I 3.65-3.74
Bi1 0.0000 0.0000 0.0000  6 I 3.07-3.40
Bi2 0.5000 0.5000 0.5000  6 I 3.07-3.40
I1 0.0000 0.0000 0.3064  1 Bi 3.07
I2 0.0000 0.0000 0.6936  1 Bi 3.07
I3 0.1184 0.6740 0.0000  1 Bi 3.40, 4 K 3.65-3.74
I4 0.1740 0.6184 0.5000  1 Bi 3.40, 4 K 3.65-3.74
I5 0.3260 0.1184 0.0000  1 Bi 3.40, 4 K 3.65-3.74
I6 0.3816 0.1740 0.5000  1 Bi 3.40, 4 K 3.65-3.74
I7 0.5000 0.5000 0.1936  1 Bi 3.07
I8 0.5000 0.5000 0.8064  1 Bi 3.07
I9 0.6184 0.8260 0.5000  1 Bi 3.40, 4 K 3.65-3.74
I10 0.6740 0.8816 0.0000  1 Bi 3.40, 4 K 3.65-3.74
I11 0.8260 0.3816 0.5000  1 Bi 3.40, 4 K 3.65-3.74
I12 0.8816 0.3260 0.0000  1 Bi 3.40, 4 K 3.65-3.74

## Properties
* final energy: -2.667 eV per atom
* formation energy from raw total energies: -1.070 eV per atom
* symmetry: No. 128

***

Question: What is the formula in the fourth record?
Answer: K4BiI6

***

Question: Which of these has the highest final energy?
Answer: K4BiI6

***

Question: Number 3 is which compound?
Answer: TlMoRh2

***

Question: The lowest final energy belongs to which entry?
Answer: TlMoRh2